The following is a PBE calculation of a geometry-optimized AlPtC3 structure, from the Alexandria database.

Cell: 3.891 3.891 3.891 Å, 90.00 90.00 90.00°
Space group Pm-3m (No. 221)
Unique sites:
Al (0.000, 0.000, 0.000) (multiplicity 1)
Pt (0.500, 0.500, 0.500) (multiplicity 1)
C (0.000, 0.000, 0.500) (multiplicity 3)

## Properties
- DFT formation energy (eV per atom) = 2.380
- total magnetic moment (μB per formula unit) = 0.00

=====

The following is a PBE calculation of a geometry-optimized AlPt3C structure, from the Alexandria database.

Cell: 4.548 4.548 4.548 Å, 90.00 90.00 90.00°
Space group Pm-3m (No. 221)
Unique sites:
Al (0.000, 0.000, 0.000) (multiplicity 1)
Pt (0.000, 0.000, 0.500) (multiplicity 3)
C (0.500, 0.500, 0.500) (multiplicity 1)

## Properties
- DFT formation energy (eV per atom) = 1.759
- total magnetic moment (μB per formula unit) = 0.00

=====

The following is a PBE calculation of a geometry-optimized Al2PtC structure, from the Alexandria database.

Cell: 5.289 5.289 9.225 Å, 90.00 90.00 90.00°
Space group I-42d (No. 122)
Unique sites:
Al (0.165, 0.250, 0.125) (multiplicity 8)
Pt (0.000, 0.000, 0.500) (multiplicity 4)
C (0.000, 0.000, 0.000) (multiplicity 4)

## Properties
- DFT formation energy (eV per atom) = -0.071
- total magnetic moment (μB per formula unit) = 0.00

=====

The following is a PBE calculation of a geometry-optimized AlPt3C structure, from the Alexandria database.

Cell: 4.185 4.185 4.185 Å, 90.00 90.00 90.00°
Space group Pm-3m (No. 221)
Unique sites:
Al (0.000, 0.000, 0.000) (multiplicity 1)
Pt (0.000, 0.500, 0.500) (multiplicity 3)
C (0.500, 0.500, 0.500) (multiplicity 1)

## Properties
- DFT formation energy (eV per atom) = 0.194
- total magnetic moment (μB per formula unit) = 0.00

=====

The following is a PBE calculation of a geometry-optimized AlPtC3 structure, from the Alexandria database.

Cell: 4.040 4.040 4.040 Å, 90.00 90.00 90.00°
Space group Pm-3m (No. 221)
Unique sites:
Al (0.000, 0.000, 0.000) (multiplicity 1)
Pt (0.500, 0.500, 0.500) (multiplicity 1)
C (0.000, 0.500, 0.500) (multiplicity 3)

## Properties
- DFT formation energy (eV per atom) = 2.380
- total magnetic moment (μB per formula unit) = 0.00

=====

The following is a PBE calculation of a geometry-optimized Al3PtC structure, from the Alexandria database.

Cell: 4.020 4.020 4.020 Å, 90.00 90.00 90.00°
Space group Pm-3m (No. 221)
Unique sites:
Al (0.000, 0.000, 0.500) (multiplicity 3)
Pt (0.500, 0.500, 0.500) (multiplicity 1)
C (0.000, 0.000, 0.000) (multiplicity 1)

## Properties
- DFT formation energy (eV per atom) = -0.172
- total magnetic moment (μB per formula unit) = 0.00

=====

The following is a PBE calculation of a geometry-optimized Al3PtC structure, from the Alexandria database.

Cell: 4.740 4.740 4.740 Å, 90.00 90.00 90.00°
Space group Pm-3m (No. 221)
Unique sites:
Al (0.000, 0.000, 0.500) (multiplicity 3)
Pt (0.000, 0.000, 0.000) (multiplicity 1)
C (0.500, 0.500, 0.500) (multiplicity 1)

## Properties
- DFT formation energy (eV per atom) = 0.929
- total magnetic moment (μB per formula unit) = 2.57

=====

The following is a PBE calculation of a geometry-optimized Sc2AlPtC structure, from the Alexandria database.

Cell: 4.505 4.505 3.883 Å, 90.00 90.00 90.00°
Space group P4/mmm (No. 123)
Unique sites:
Sc (0.000, 0.500, 0.000) (multiplicity 2)
Al (0.000, 0.000, 0.500) (multiplicity 1)
Pt (0.500, 0.500, 0.500) (multiplicity 1)
C (0.000, 0.000, 0.000) (multiplicity 1)

## Properties
- DFT formation energy (eV per atom) = -0.732
- total magnetic moment (μB per formula unit) = 0.00

=====

The following is a PBE calculation of a geometry-optimized AlTcPt2C structure, from the Alexandria database.

Cell: 4.176 4.176 4.031 Å, 90.00 90.00 90.00°
Space group P4/mmm (No. 123)
Unique sites:
Al (0.000, 0.000, 0.000) (multiplicity 1)
Tc (0.500, 0.500, 0.000) (multiplicity 1)
Pt (0.000, 0.500, 0.500) (multiplicity 2)
C (0.000, 0.000, 0.500) (multiplicity 1)

## Properties
- DFT formation energy (eV per atom) = 0.500
- total magnetic moment (μB per formula unit) = 1.95

=====

The following is a PBE calculation of a geometry-optimized ThAlPtC structure, from the Alexandria database.

Cell: 3.959 3.959 9.087 Å, 90.00 90.00 90.00°
Space group P4/nmm (No. 129, origin choice 2)
Unique sites:
Th (0.250, 0.250, 0.144) (multiplicity 2)
Al (0.250, 0.250, 0.665) (multiplicity 2)
Pt (0.250, 0.750, 0.500) (multiplicity 2)
C (0.250, 0.250, 0.882) (multiplicity 2)

## Properties
- DFT formation energy (eV per atom) = -0.674
- total magnetic moment (μB per formula unit) = 0.00

=====

The following is a PBE calculation of a geometry-optimized YAlPt2C structure, from the Alexandria database.

Cell: 4.840 4.840 3.862 Å, 90.00 90.00 90.00°
Space group P4/mmm (No. 123)
Unique sites:
Y (0.000, 0.000, 0.000) (multiplicity 1)
Al (0.500, 0.500, 0.500) (multiplicity 1)
Pt (0.000, 0.500, 0.500) (multiplicity 2)
C (0.500, 0.500, 0.000) (multiplicity 1)

## Properties
- DFT formation energy (eV per atom) = 0.144
- total magnetic moment (μB per formula unit) = 0.00

=====

The following is a PBE calculation of a geometry-optimized Y2AlPtC structure, from the Alexandria database.

Cell: 4.922 4.922 3.887 Å, 90.00 90.00 90.00°
Space group P4/mmm (No. 123)
Unique sites:
Y (0.000, 0.500, 0.000) (multiplicity 2)
Al (0.000, 0.000, 0.500) (multiplicity 1)
Pt (0.500, 0.500, 0.500) (multiplicity 1)
C (0.000, 0.000, 0.000) (multiplicity 1)

## Properties
- DFT formation energy (eV per atom) = -0.621
- total magnetic moment (μB per formula unit) = 0.00